(1)
# CeSmTeS2

CeSmTeS2 after structural relaxation (GGA-PBE, the Alexandria database).

Cell: 7.6479 7.6479 7.6479 Å, 145.59 145.59 49.46°
Last column: nearest neighbours and their distance in Å.
Fractional positions:
Ce (0.0000, 0.0000, 0.0000)  4 S 2.74
Sm (0.7203, 0.7203, 0.0000)  4 S 2.72
Te (0.3615, 0.3615, 0.0000)  4 Ce 3.73, 4 Sm 3.75, 8 S 4.14-4.15
S (0.1117, 0.6117, 0.5000)  2 Sm 2.72, 2 Ce 2.74
S (0.6117, 0.1117, 0.5000)  2 Sm 2.72, 2 Ce 2.74

Values from the calculation:
Energy relative to the elements, uncorrected ... -155.16 kJ per mole of atoms
Calculated total energy ... -6.018 eV/atom
Magnetic moment ... 1.00 μB per cell

---

(2)
# PmDyH2

PmDyH2 after structural relaxation (GGA-PBE, the Alexandria database).

Cell: 6.1122 6.1122 6.1122 Å, 33.65 33.65 33.65°
Last column: nearest neighbours and their distance in Å.
Fractional positions:
Pm (0.0000, 0.0000, 0.0000)  6 H 2.54
Dy (0.5000, 0.5000, 0.5000)  6 H 2.46
H (0.2457, 0.2457, 0.2457)  3 Dy 2.46, 3 Pm 2.54
H (0.7543, 0.7543, 0.7543)  3 Dy 2.46, 3 Pm 2.54

Values from the calculation:
Calculated total energy ... -4.396 eV/atom
Magnetic moment ... 0.00 μB per cell

---

(3)
# NaMn2Co

NaMn2Co after structural relaxation (GGA-PBE, the Alexandria database).

Cell: 5.7388 5.7388 5.7388 Å, 103.89 103.89 121.33°
Last column: nearest neighbours and their distance in Å.
Fractional positions:
Na (0.0000, 0.0000, 0.0000)  2 Co 2.81, 8 Mn 2.88-3.07
Na (0.7500, 0.2500, 0.5000)  2 Co 2.81, 8 Mn 2.88-3.07
Mn (0.1813, 0.6250, 0.0563)  2 Co 2.35
Mn (0.3750, 0.4313, 0.5563)  2 Co 2.35
Mn (0.5687, 0.1250, 0.9437)  2 Co 2.35
Mn (0.8750, 0.8187, 0.4437)  2 Co 2.35
Co (0.2500, 0.7500, 0.5000)  4 Mn 2.35
Co (0.5000, 0.5000, 0.0000)  4 Mn 2.35

Values from the calculation:
Calculated total energy ... -5.776 eV/atom
Magnetic moment ... 17.52 μB per cell
Calculated formation energy ... 0.91 eV per atom